No. 1
Density functional theory data (PBE-GGA) for Cd4ReIr after structural relaxation.

```
data_Cd4ReIr
_chemical_formula_sum 'Cd16 Re4 Ir4'
_space_group_name_H-M_alt 'F -4 3 m'
_space_group_IT_number 216
_space_group_name_Hall 'F -4 2 3'
_cell_length_a 7.672
_cell_length_b 7.672
_cell_length_c 7.672
_cell_angle_alpha 90.00
_cell_angle_beta 90.00
_cell_angle_gamma 90.00
loop_
_atom_site_label
_atom_site_type_symbol
_atom_site_fract_x
_atom_site_fract_y
_atom_site_fract_z
Cd1 Cd 0.125 0.125 0.125
Re1 Re 0.000 0.000 0.500
Ir1 Ir 0.250 0.250 0.750
```

Computed properties:
Fermi-level density of states: 16.82 states/eV per cell
ΔH_f (0 K): 0.898 eV/atom
Crystal system: cubic


No. 2
Density functional theory data (PBE-GGA) for CdReIr2 after structural relaxation.

```
data_CdReIr2
_chemical_formula_sum 'Cd1 Re1 Ir2'
_space_group_name_H-M_alt 'P m m m'
_space_group_IT_number 47
_cell_length_a 2.822
_cell_length_b 4.679
_cell_length_c 4.832
_cell_angle_alpha 90.00
_cell_angle_beta 90.00
_cell_angle_gamma 90.00
loop_
_space_group_symop_operation_xyz
'x,y,z'
'-x,-y,-z'
'-x,-y,z'
'x,y,-z'
'x,-y,-z'
'-x,y,z'
'-x,y,-z'
'x,-y,z'
loop_
_atom_site_label
_atom_site_type_symbol
_atom_site_fract_x
_atom_site_fract_y
_atom_site_fract_z
Cd1 Cd 0.000 0.000 0.000
Re1 Re 0.500 0.000 0.500
Ir1 Ir 0.000 0.500 0.500
Ir2 Ir 0.500 0.500 0.000
```

Computed properties:
Fermi-level density of states: 3.28 states/eV per cell
ΔH_f (0 K): 0.570 eV/atom
Crystal system: orthorhombic


No. 3
Density functional theory data (PBE-GGA) for Cd2ReIr after structural relaxation.

```
data_Cd2ReIr
_chemical_formula_sum 'Cd4 Re2 Ir2'
_space_group_name_H-M_alt 'C 1 2/m 1'
_space_group_IT_number 12
_cell_length_a 9.724
_cell_length_b 2.850
_cell_length_c 4.971
_cell_angle_alpha 90.00
_cell_angle_beta 100.01
_cell_angle_gamma 90.00
loop_
_space_group_symop_operation_xyz
'x,y,z'
'-x,-y,-z'
'-x,y,-z'
'x,-y,z'
'x+1/2,y+1/2,z'
'-x+1/2,-y+1/2,-z'
'-x+1/2,y+1/2,-z'
'x+1/2,-y+1/2,z'
loop_
_atom_site_label
_atom_site_type_symbol
_atom_site_fract_x
_atom_site_fract_y
_atom_site_fract_z
Cd1 Cd 0.248 0.000 0.248
Re1 Re 0.000 0.000 0.500
Ir1 Ir 0.000 0.500 0.000
```

Computed properties:
E above lowest polymorph: 372.3 meV/atom
Fermi-level density of states: 6.21 states/eV per cell
ΔH_f (0 K): 0.470 eV/atom
Crystal system: monoclinic


No. 4
Density functional theory data (PBE-GGA) for Cd2ReIr after structural relaxation.

```
data_Cd2ReIr
_chemical_formula_sum 'Cd4 Re2 Ir2'
_space_group_name_H-M_alt 'I m m 2'
_space_group_IT_number 44
_cell_length_a 2.810
_cell_length_b 4.838
_cell_length_c 10.983
_cell_angle_alpha 90.00
_cell_angle_beta 90.00
_cell_angle_gamma 90.00
loop_
_space_group_symop_operation_xyz
'x,y,z'
'-x,-y,z'
'-x,y,z'
'x,-y,z'
'x+1/2,y+1/2,z+1/2'
'-x+1/2,-y+1/2,z+1/2'
'-x+1/2,y+1/2,z+1/2'
'x+1/2,-y+1/2,z+1/2'
loop_
_atom_site_label
_atom_site_type_symbol
_atom_site_fract_x
_atom_site_fract_y
_atom_site_fract_z
Cd1 Cd 0.000 0.000 0.000
Cd2 Cd 0.000 0.500 0.190
Re1 Re 0.000 0.500 0.752
Ir1 Ir 0.000 0.000 0.442
```

Computed properties:
E above lowest polymorph: 345.7 meV/atom
Fermi-level density of states: 6.66 states/eV per cell
ΔH_f (0 K): 0.443 eV/atom
Crystal system: orthorhombic


No. 5
Density functional theory data (PBE-GGA) for Cd3ReIr after structural relaxation.

```
data_Cd3ReIr
_chemical_formula_sum 'Cd3 Re1 Ir1'
_space_group_name_H-M_alt 'P m -3 m'
_space_group_IT_number 221
_space_group_name_Hall '-P 4 2 3'
_cell_length_a 5.162
_cell_length_b 5.162
_cell_length_c 5.162
_cell_angle_alpha 90.00
_cell_angle_beta 90.00
_cell_angle_gamma 90.00
loop_
_atom_site_label
_atom_site_type_symbol
_atom_site_fract_x
_atom_site_fract_y
_atom_site_fract_z
Cd1 Cd 0.000 0.000 0.500
Re1 Re 0.000 0.000 0.000
Ir1 Ir 0.500 0.500 0.500
```

Computed properties:
E above lowest polymorph: 442.2 meV/atom
Fermi-level density of states: 11.17 states/eV per cell
ΔH_f (0 K): 1.931 eV/atom
Crystal system: cubic


No. 6
Density functional theory data (PBE-GGA) for Cd2ReIr after structural relaxation.

```
data_Cd2ReIr
_chemical_formula_sum 'Cd4 Re2 Ir2'
_space_group_name_H-M_alt 'I -4 m 2'
_space_group_IT_number 119
_space_group_name_Hall 'I -4 -2'
_cell_length_a 4.254
_cell_length_b 4.254
_cell_length_c 7.560
_cell_angle_alpha 90.00
_cell_angle_beta 90.00
_cell_angle_gamma 90.00
loop_
_atom_site_label
_atom_site_type_symbol
_atom_site_fract_x
_atom_site_fract_y
_atom_site_fract_z
Cd1 Cd 0.000 0.000 0.000
Cd2 Cd 0.000 0.500 0.250
Re1 Re 0.000 0.000 0.500
Ir1 Ir 0.000 0.500 0.750
```

Computed properties:
E above lowest polymorph: 499.7 meV/atom
Fermi-level density of states: 9.21 states/eV per cell
ΔH_f (0 K): 0.597 eV/atom
Crystal system: tetragonal


No. 7
Density functional theory data (PBE-GGA) for CdReIr2 after structural relaxation.

```
data_CdReIr2
_chemical_formula_sum 'Cd4 Re4 Ir8'
_space_group_name_H-M_alt 'F -4 3 m'
_space_group_IT_number 216
_space_group_name_Hall 'F -4 2 3'
_cell_length_a 6.332
_cell_length_b 6.332
_cell_length_c 6.332
_cell_angle_alpha 90.00
_cell_angle_beta 90.00
_cell_angle_gamma 90.00
loop_
_atom_site_label
_atom_site_type_symbol
_atom_site_fract_x
_atom_site_fract_y
_atom_site_fract_z
Cd1 Cd 0.000 0.000 0.000
Re1 Re 0.250 0.250 0.250
Ir1 Ir 0.000 0.000 0.500
Ir2 Ir 0.250 0.250 0.750
```

Computed properties:
Fermi-level density of states: 25.36 states/eV per cell
ΔH_f (0 K): 0.610 eV/atom
Crystal system: cubic


No. 8
Density functional theory data (PBE-GGA) for Cd2ReIr after structural relaxation.

```
data_Cd2ReIr
_chemical_formula_sum 'Cd4 Re2 Ir2'
_space_group_name_H-M_alt 'C 1 m 1'
_space_group_IT_number 8
_cell_length_a 9.192
_cell_length_b 2.853
_cell_length_c 5.324
_cell_angle_alpha 90.00
_cell_angle_beta 97.95
_cell_angle_gamma 90.00
loop_
_space_group_symop_operation_xyz
'x,y,z'
'x,-y,z'
'x+1/2,y+1/2,z'
'x+1/2,-y+1/2,z'
loop_
_atom_site_label
_atom_site_type_symbol
_atom_site_fract_x
_atom_site_fract_y
_atom_site_fract_z
Cd1 Cd 0.000 0.000 0.000
Cd2 Cd 0.243 0.000 0.766
Re1 Re 0.252 0.500 0.296
Ir1 Ir 0.491 0.000 0.466
```

Computed properties:
E above lowest polymorph: 291.1 meV/atom
Fermi-level density of states: 4.53 states/eV per cell
ΔH_f (0 K): 0.389 eV/atom
Crystal system: monoclinic


No. 9
Density functional theory data (PBE-GGA) for Cd2ReIr after structural relaxation.

```
data_Cd2ReIr
_chemical_formula_sum 'Cd8 Re4 Ir4'
_space_group_name_H-M_alt 'F m -3 m'
_space_group_IT_number 225
_space_group_name_Hall '-F 4 2 3'
_cell_length_a 6.522
_cell_length_b 6.522
_cell_length_c 6.522
_cell_angle_alpha 90.00
_cell_angle_beta 90.00
_cell_angle_gamma 90.00
loop_
_atom_site_label
_atom_site_type_symbol
_atom_site_fract_x
_atom_site_fract_y
_atom_site_fract_z
Cd1 Cd 0.250 0.250 0.250
Re1 Re 0.000 0.000 0.000
Ir1 Ir 0.000 0.000 0.500
```

Computed properties:
E above lowest polymorph: 702.1 meV/atom
Fermi-level density of states: 5.83 states/eV per cell
ΔH_f (0 K): 0.800 eV/atom
Crystal system: cubic


No. 10
Density functional theory data (PBE-GGA) for CdRe2Ir2 after structural relaxation.

```
data_CdRe2Ir2
_chemical_formula_sum 'Cd2 Re4 Ir4'
_space_group_name_H-M_alt 'P 4/m b m'
_space_group_IT_number 127
_space_group_name_Hall '-P 4 2ab'
_cell_length_a 7.743
_cell_length_b 7.743
_cell_length_c 2.743
_cell_angle_alpha 90.00
_cell_angle_beta 90.00
_cell_angle_gamma 90.00
loop_
_atom_site_label
_atom_site_type_symbol
_atom_site_fract_x
_atom_site_fract_y
_atom_site_fract_z
Cd1 Cd 0.000 0.000 0.000
Re1 Re 0.170 0.330 0.500
Ir1 Ir 0.123 0.623 0.000
```

Computed properties:
E above lowest polymorph: 35.4 meV/atom
Fermi-level density of states: 9.12 states/eV per cell
ΔH_f (0 K): 0.204 eV/atom
Crystal system: tetragonal


No. 11
Density functional theory data (PBE-GGA) for Cd2ReIr after structural relaxation.

```
data_Cd2ReIr
_chemical_formula_sum 'Cd2 Re1 Ir1'
_space_group_name_H-M_alt 'P m m m'
_space_group_IT_number 47
_cell_length_a 2.837
_cell_length_b 4.437
_cell_length_c 5.480
_cell_angle_alpha 90.00
_cell_angle_beta 90.00
_cell_angle_gamma 90.00
loop_
_space_group_symop_operation_xyz
'x,y,z'
'-x,-y,-z'
'-x,-y,z'
'x,y,-z'
'x,-y,-z'
'-x,y,z'
'-x,y,-z'
'x,-y,z'
loop_
_atom_site_label
_atom_site_type_symbol
_atom_site_fract_x
_atom_site_fract_y
_atom_site_fract_z
Cd1 Cd 0.000 0.000 0.249
Re1 Re 0.500 0.500 0.500
Ir1 Ir 0.500 0.500 0.000
```

Computed properties:
E above lowest polymorph: 524.9 meV/atom
Fermi-level density of states: 4.50 states/eV per cell
ΔH_f (0 K): 0.622 eV/atom
Crystal system: orthorhombic


No. 12
Density functional theory data (PBE-GGA) for Cd2ReIr after structural relaxation.

```
data_Cd2ReIr
_chemical_formula_sum 'Cd2 Re1 Ir1'
_space_group_name_H-M_alt 'P 4/m m m'
_space_group_IT_number 123
_space_group_name_Hall '-P 4 2'
_cell_length_a 3.940
_cell_length_b 3.940
_cell_length_c 4.460
_cell_angle_alpha 90.00
_cell_angle_beta 90.00
_cell_angle_gamma 90.00
loop_
_atom_site_label
_atom_site_type_symbol
_atom_site_fract_x
_atom_site_fract_y
_atom_site_fract_z
Cd1 Cd 0.000 0.500 0.000
Re1 Re 0.000 0.000 0.500
Ir1 Ir 0.500 0.500 0.500
```

Computed properties:
E above lowest polymorph: 550.4 meV/atom
Fermi-level density of states: 4.94 states/eV per cell
ΔH_f (0 K): 0.648 eV/atom
Crystal system: tetragonal


No. 13
Density functional theory data (PBE-GGA) for CdReIr2 after structural relaxation.

```
data_CdReIr2
_chemical_formula_sum 'Cd4 Re4 Ir8'
_space_group_name_H-M_alt 'I -4 2 d'
_space_group_IT_number 122
_space_group_name_Hall 'I -4 2bw'
_cell_length_a 7.303
_cell_length_b 7.303
_cell_length_c 5.490
_cell_angle_alpha 90.00
_cell_angle_beta 90.00
_cell_angle_gamma 90.00
loop_
_atom_site_label
_atom_site_type_symbol
_atom_site_fract_x
_atom_site_fract_y
_atom_site_fract_z
Cd1 Cd 0.000 0.000 0.000
Re1 Re 0.000 0.000 0.500
Ir1 Ir 0.203 0.750 0.625
```

Computed properties:
Fermi-level density of states: 22.28 states/eV per cell
ΔH_f (0 K): 0.697 eV/atom
Crystal system: tetragonal


No. 14
Density functional theory data (PBE-GGA) for CdReIr after structural relaxation.

```
data_CdReIr
_chemical_formula_sum 'Cd2 Re2 Ir2'
_space_group_name_H-M_alt 'I 4 m m'
_space_group_IT_number 107
_space_group_name_Hall 'I 4 -2'
_cell_length_a 2.839
_cell_length_b 2.839
_cell_length_c 12.281
_cell_angle_alpha 90.00
_cell_angle_beta 90.00
_cell_angle_gamma 90.00
loop_
_atom_site_label
_atom_site_type_symbol
_atom_site_fract_x
_atom_site_fract_y
_atom_site_fract_z
Cd1 Cd 0.000 0.000 0.000
Re1 Re 0.000 0.000 0.683
Ir1 Ir 0.000 0.000 0.320
```

Computed properties:
E above lowest polymorph: 0.0 meV/atom
Fermi-level density of states: 5.27 states/eV per cell
ΔH_f (0 K): 0.133 eV/atom
Crystal system: tetragonal


No. 15
Density functional theory data (PBE-GGA) for CdReIr2 after structural relaxation.

```
data_CdReIr2
_chemical_formula_sum 'Cd2 Re2 Ir4'
_space_group_name_H-M_alt 'I 4/m m m'
_space_group_IT_number 139
_space_group_name_Hall '-I 4 2'
_cell_length_a 4.048
_cell_length_b 4.048
_cell_length_c 7.676
_cell_angle_alpha 90.00
_cell_angle_beta 90.00
_cell_angle_gamma 90.00
loop_
_atom_site_label
_atom_site_type_symbol
_atom_site_fract_x
_atom_site_fract_y
_atom_site_fract_z
Cd1 Cd 0.000 0.000 0.000
Re1 Re 0.000 0.000 0.500
Ir1 Ir 0.000 0.500 0.250
```

Computed properties:
Fermi-level density of states: 7.12 states/eV per cell
ΔH_f (0 K): 0.316 eV/atom
Crystal system: tetragonal